Material: LiMoSeO5
Method: DFT, PBE+U
State: relaxed

DFT total energy = -95.73 eV for the cell shown
density = 3.40 g cm⁻³
DOS(E_F) = 0.000 states/eV per atom

Cell and atoms, written as POSCAR:
```
LiMoSeO5
1.0
-3.6384 -3.0370 -5.4316
0.2893 -3.4703 6.3116
-2.2486 7.3157 1.0221
Li O Se Mo
2 10 2 2
direct
0.0000 0.0000 0.5000
0.0000 0.0000 0.0000
0.8622 0.3953 0.0537
0.0641 0.9359 0.2500
0.1514 0.3549 0.5662
0.3953 0.8622 0.5537
0.6451 0.8486 0.9338
0.3549 0.1514 0.0662
0.9359 0.0641 0.7500
0.1378 0.6047 0.9463
0.8486 0.6451 0.4338
0.6047 0.1378 0.4463
0.6821 0.3179 0.2500
0.3179 0.6821 0.7500
0.2043 0.7957 0.2500
0.7957 0.2043 0.7500
```